Record 1
Crystalline Mn2VFe at its relaxed geometry, computed with GGA-PBE.

## Properties
DFT total energy: -8.4672 eV per atom
E above lowest polymorph: 2.193 eV per formula unit
DOS(E_F): 1.242 states/eV/atom
calculated formation energy: 0.51 eV/atom
total moment: 3.0 μB per formula unit
theoretical density: 7.148 g cm⁻³

abc: 6.3875 6.3875 4.9346
angles: 90.00 90.00 90.00
Space group I-42d (No. 122)
Inequivalent atoms, fractional coordinates:
Mn: 0.2322 0.2500 0.1250 [8 per cell]
V: 0.0000 0.0000 0.5000 [4 per cell]
Fe: 0.0000 0.0000 0.0000 [4 per cell]

---

Record 2
Crystalline AcPm4Pr2 at its relaxed geometry, computed with GGA-PBE.

## Properties
DFT total energy: -4.4623 eV per atom
E above lowest polymorph: 0.056 eV per formula unit
DOS(E_F): 1.511 states/eV/atom
calculated formation energy: 0.20 eV/atom
total moment: 0.0 μB per formula unit
theoretical density: 6.903 g cm⁻³

abc: 4.6756 4.6756 23.9633
angles: 90.00 90.00 90.00
Space group I4/mmm (No. 139)
Inequivalent atoms, fractional coordinates:
Ac: 0.0000 0.0000 0.0000 [2 per cell]
Pm: 0.0000 0.0000 0.1423 [4 per cell]
Pm: 0.0000 0.5000 0.2500 [4 per cell]
Pr: 0.0000 0.0000 0.3954 [4 per cell]

---

Record 3
Crystalline Ru3SN at its relaxed geometry, computed with GGA-PBE.

## Properties
DFT total energy: -7.4424 eV per atom
E above lowest polymorph: 0.000 eV per formula unit
DOS(E_F): 1.396 states/eV/atom
ΔE_f (raw): 0.6137 eV per atom
total moment: 0.0 μB per formula unit
theoretical density: 8.784 g cm⁻³

abc: 4.0418 4.0418 4.0418
angles: 90.00 90.00 90.00
Space group Pm-3m (No. 221)
Inequivalent atoms, fractional coordinates:
Ru: 0.0000 0.0000 0.5000 [3 per cell]
S: 0.5000 0.5000 0.5000 [1 per cell]
N: 0.0000 0.0000 0.0000 [1 per cell]

---

Record 4
Crystalline Ni6RuRh3 at its relaxed geometry, computed with GGA-PBE.

## Properties
DFT total energy: -6.5104 eV per atom
DOS(E_F): 1.955 states/eV/atom
calculated formation energy: 0.09 eV/atom
total moment: 6.5 μB per formula unit
theoretical density: 10.128 g cm⁻³

abc: 5.2897 6.6988 8.0774
angles: 71.91 80.64 66.82
Space group P1 (No. 1)
Inequivalent atoms, fractional coordinates:
Ni: 0.0000 0.0000 0.0000 [1 per cell]
Ni: 0.0006 0.1680 0.6697 [1 per cell]
Ni: 0.1038 0.3616 0.8663 [1 per cell]
Ni: 0.1996 0.5668 0.0689 [1 per cell]
Ni: 0.3017 0.7655 0.2631 [1 per cell]
Ni: 0.3976 0.9675 0.4673 [1 per cell]
Ni: 0.4978 0.1685 0.6684 [1 per cell]
Ni: 0.4998 0.0008 0.0009 [1 per cell]
Ni: 0.6012 0.3627 0.8659 [1 per cell]
Ni: 0.7001 0.5687 0.0663 [1 per cell]
Ni: 0.8034 0.7667 0.2603 [1 per cell]
Ni: 0.9031 0.9654 0.4662 [1 per cell]
Ru: 0.2014 0.4009 0.4001 [1 per cell]
Ru: 0.2982 0.6003 0.6013 [1 per cell]
Rh: 0.1046 0.1950 0.1949 [1 per cell]
Rh: 0.3952 0.8054 0.8070 [1 per cell]
Rh: 0.6031 0.1953 0.1962 [1 per cell]
Rh: 0.7009 0.3999 0.3993 [1 per cell]
Rh: 0.7984 0.6025 0.6012 [1 per cell]
Rh: 0.8971 0.8052 0.8056 [1 per cell]

---

Record 5
Crystalline Cs2NpBe2O6 at its relaxed geometry, computed with GGA-PBE.

## Properties
DFT total energy: -7.1567 eV per atom
ΔE_f (raw): -2.4431 eV per atom
total moment: 1.0 μB per formula unit
theoretical density: 5.437 g cm⁻³

abc: 5.6437 5.6437 20.4902
angles: 90.00 90.00 120.00
Space group R-3m (No. 166, hexagonal axes)
Inequivalent atoms, fractional coordinates:
Cs: 0.0000 0.0000 0.2132 [6 per cell]
Np: 0.0000 0.0000 0.0000 [3 per cell]
Be: 0.0000 0.0000 0.3899 [6 per cell]
O: 0.0146 0.5073 0.2741 [18 per cell]

---

Record 6
Crystalline ZnTeRu at its relaxed geometry, computed with GGA-PBE.

## Properties
DFT total energy: -4.1897 eV per atom
E above lowest polymorph: 0.914 eV per formula unit
DOS(E_F): 1.130 states/eV/atom
ΔE_f (raw): 0.3741 eV per atom
total moment: 0.0 μB per formula unit
theoretical density: 8.760 g cm⁻³

abc: 4.4637 4.4637 3.2308
angles: 90.00 90.00 120.00
Space group P3m1 (No. 156)
Inequivalent atoms, fractional coordinates:
Zn: 0.0000 0.0000 0.0000 [1 per cell]
Te: 0.3333 0.6667 0.4994 [1 per cell]
Ru: 0.6667 0.3333 0.4980 [1 per cell]

---

Record 7
Crystalline TbTh2Bi3 at its relaxed geometry, computed with GGA-PBE.

## Properties
DFT total energy: -5.8517 eV per atom
E above lowest polymorph: 0.000 eV per formula unit
DOS(E_F): 0.561 states/eV/atom
calculated formation energy: -0.67 eV/atom
total moment: 0.0 μB per formula unit
theoretical density: 10.289 g cm⁻³

abc: 4.5540 6.4602 13.7133
angles: 90.00 90.00 90.00
Space group Immm (No. 71)
Inequivalent atoms, fractional coordinates:
Tb: 0.0000 0.0000 0.0000 [2 per cell]
Th: 0.0000 0.0000 0.3319 [4 per cell]
Bi: 0.0000 0.5000 0.0000 [2 per cell]
Bi: 0.0000 0.5000 0.3382 [4 per cell]

---

Record 8
Crystalline MgMn2PdRh at its relaxed geometry, computed with GGA-PBE.

## Properties
DFT total energy: -5.2746 eV per atom
DOS(E_F): 0.491 states/eV/atom
calculated formation energy: 1.22 eV/atom
total moment: 8.8 μB per formula unit
theoretical density: 6.034 g cm⁻³

abc: 4.6468 4.6468 4.3781
angles: 90.00 90.00 90.00
Space group P4/mmm (No. 123)
Inequivalent atoms, fractional coordinates:
Mg: 0.0000 0.0000 0.0000 [1 per cell]
Mn: 0.0000 0.5000 0.0000 [2 per cell]
Pd: 0.0000 0.0000 0.5000 [1 per cell]
Rh: 0.5000 0.5000 0.5000 [1 per cell]

---

Record 9
Crystalline TePd2Se at its relaxed geometry, computed with GGA-PBE.

## Properties
DFT total energy: -4.3624 eV per atom
E above lowest polymorph: 0.526 eV per formula unit
DOS(E_F): 0.509 states/eV/atom
ΔE_f (raw): -0.1094 eV per atom
total moment: 0.0 μB per formula unit
theoretical density: 9.294 g cm⁻³

abc: 6.6923 6.6923 6.6923
angles: 90.00 90.00 90.00
Space group Fm-3m (No. 225)
Inequivalent atoms, fractional coordinates:
Te: 0.0000 0.0000 0.0000 [4 per cell]
Pd: 0.2500 0.2500 0.2500 [8 per cell]
Se: 0.0000 0.0000 0.5000 [4 per cell]

---

Record 10
Crystalline BaCd3In at its relaxed geometry, computed with GGA-PBE.

## Properties
DFT total energy: -0.8308 eV per atom
E above lowest polymorph: 4.792 eV per formula unit
DOS(E_F): 1.976 states/eV/atom
calculated formation energy: 0.65 eV/atom
total moment: 0.0 μB per formula unit
theoretical density: 3.668 g cm⁻³

abc: 6.4377 6.4377 6.4377
angles: 90.00 90.00 90.00
Space group Pm-3m (No. 221)
Inequivalent atoms, fractional coordinates:
Ba: 0.0000 0.0000 0.0000 [1 per cell]
Cd: 0.0000 0.0000 0.5000 [3 per cell]
In: 0.5000 0.5000 0.5000 [1 per cell]

---

Record 11
Crystalline CsNaMg at its relaxed geometry, computed with GGA-PBE.

## Properties
DFT total energy: -1.1248 eV per atom
E above lowest polymorph: 0.055 eV per formula unit
DOS(E_F): 0.555 states/eV/atom
calculated formation energy: 0.13 eV/atom
total moment: 0.0 μB per formula unit
theoretical density: 1.959 g cm⁻³

abc: 7.2802 5.6470 7.7656
angles: 90.00 106.91 90.00
Space group P2_1/m (No. 11)
Inequivalent atoms, fractional coordinates:
Cs: 0.2409 0.2500 0.4579 [2 per cell]
Na: 0.3557 0.7500 0.9684 [2 per cell]
Mg: 0.0696 0.2500 0.9367 [2 per cell]

---

Record 12
Crystalline K2TePbS at its relaxed geometry, computed with GGA-PBE.

## Properties
DFT total energy: -3.4752 eV per atom
ΔE_f (raw): -0.8407 eV per atom
total moment: 0.0 μB per formula unit
theoretical density: 3.686 g cm⁻³

abc: 9.2210 4.5607 9.8552
angles: 90.00 104.62 90.00
Space group P2_1/m (No. 11)
Inequivalent atoms, fractional coordinates:
K: 0.1350 0.2500 0.4060 [2 per cell]
K: 0.2887 0.2500 0.8838 [2 per cell]
Te: 0.3395 0.7500 0.1784 [2 per cell]
Pb: 0.4883 0.7500 0.6338 [2 per cell]
S: 0.2128 0.7500 0.6519 [2 per cell]

---

Record 13
Crystalline NaCrIN2 at its relaxed geometry, computed with GGA-PBE.

## Properties
DFT total energy: -5.5144 eV per atom
E above lowest polymorph: 0.000 eV per formula unit
DOS(E_F): 0.846 states/eV/atom
ΔE_f (raw): 0.3142 eV per atom
total moment: 0.0 μB per formula unit
theoretical density: 4.569 g cm⁻³

abc: 3.8198 3.8198 5.7272
angles: 90.00 90.00 90.00
Space group P4/mmm (No. 123)
Inequivalent atoms, fractional coordinates:
Na: 0.0000 0.0000 0.0000 [1 per cell]
Cr: 0.5000 0.5000 0.5000 [1 per cell]
I: 0.5000 0.5000 0.0000 [1 per cell]
N: 0.0000 0.5000 0.5000 [2 per cell]

---

Record 14
Crystalline LaNi2Pd at its relaxed geometry, computed with GGA-PBE.

## Properties
DFT total energy: -5.5842 eV per atom
DOS(E_F): 0.963 states/eV/atom
calculated formation energy: -0.16 eV/atom
total moment: 0.6 μB per formula unit
theoretical density: 7.318 g cm⁻³

abc: 4.3259 4.3259 17.5921
angles: 90.00 90.00 90.00
Space group I-42d (No. 122)
Inequivalent atoms, fractional coordinates:
La: 0.0000 0.0000 0.0000 [4 per cell]
Ni: 0.0780 0.2500 0.6250 [8 per cell]
Pd: 0.0000 0.0000 0.5000 [4 per cell]

---

Record 15
Crystalline LaLu3 at its relaxed geometry, computed with GGA-PBE.

## Properties
DFT total energy: -4.5844 eV per atom
DOS(E_F): 1.796 states/eV/atom
calculated formation energy: 0.04 eV/atom
total moment: 0.0 μB per formula unit
theoretical density: 8.746 g cm⁻³

abc: 3.6120 5.6475 6.1783
angles: 90.00 90.00 90.00
Space group Pmm2 (No. 25)
Inequivalent atoms, fractional coordinates:
La: 0.0000 0.0000 0.0000 [1 per cell]
Lu: 0.0000 0.5000 0.6579 [1 per cell]
Lu: 0.5000 0.0000 0.4961 [1 per cell]
Lu: 0.5000 0.5000 0.1650 [1 per cell]

---

Record 16
Crystalline Rb3In6Sn5 at its relaxed geometry, computed with GGA-PBE.

## Properties
DFT total energy: -2.9358 eV per atom
DOS(E_F): 0.328 states/eV/atom
calculated formation energy: -0.13 eV/atom
total moment: 0.0 μB per formula unit
theoretical density: 5.379 g cm⁻³

abc: 4.9441 15.1118 12.7170
angles: 90.00 90.00 90.00
Space group Pmmn (No. 59, origin choice 2)
Inequivalent atoms, fractional coordinates:
Rb: 0.2500 0.0941 0.2457 [4 per cell]
Rb: 0.2500 0.7500 0.2496 [2 per cell]
In: 0.2500 0.0662 0.6229 [4 per cell]
In: 0.2500 0.2500 0.4764 [2 per cell]
In: 0.2500 0.2500 0.9839 [2 per cell]
In: 0.2500 0.5847 0.0069 [4 per cell]
Sn: 0.2500 0.0759 0.8583 [4 per cell]
Sn: 0.2500 0.6095 0.5067 [4 per cell]
Sn: 0.2500 0.7500 0.8749 [2 per cell]

---

Record 17
Crystalline CrGeOs at its relaxed geometry, computed with GGA-PBE.

## Properties
DFT total energy: -8.4570 eV per atom
DOS(E_F): 0.731 states/eV/atom
calculated formation energy: 0.03 eV/atom
total moment: 0.0 μB per formula unit
theoretical density: 12.346 g cm⁻³

abc: 8.8437 2.8921 6.6783
angles: 90.00 97.36 90.00
Space group C2/m (No. 12)
Inequivalent atoms, fractional coordinates:
Cr: 0.1343 0.0000 0.4518 [4 per cell]
Ge: 0.1720 0.5000 0.1422 [4 per cell]
Os: 0.0913 0.5000 0.7488 [4 per cell]

---

Record 18
Crystalline CaHg3Ge at its relaxed geometry, computed with GGA-PBE.

## Properties
DFT total energy: -1.4810 eV per atom
E above lowest polymorph: 0.000 eV per formula unit
DOS(E_F): 0.524 states/eV/atom
calculated formation energy: 0.02 eV/atom
total moment: 0.0 μB per formula unit
theoretical density: 7.820 g cm⁻³

abc: 5.3335 5.3335 5.3335
angles: 90.00 90.00 90.00
Space group Pm-3m (No. 221)
Inequivalent atoms, fractional coordinates:
Ca: 0.0000 0.0000 0.0000 [1 per cell]
Hg: 0.0000 0.5000 0.5000 [3 per cell]
Ge: 0.5000 0.5000 0.5000 [1 per cell]

---

Record 19
Crystalline LiHoThRe at its relaxed geometry, computed with GGA-PBE.

## Properties
DFT total energy: -6.5995 eV per atom
DOS(E_F): 0.677 states/eV/atom
calculated formation energy: -0.01 eV/atom
total moment: 0.0 μB per formula unit
theoretical density: 11.103 g cm⁻³

abc: 7.0675 7.0675 7.0675
angles: 90.00 90.00 90.00
Space group F-43m (No. 216)
Inequivalent atoms, fractional coordinates:
Li: 0.0000 0.0000 0.0000 [4 per cell]
Ho: 0.2500 0.2500 0.2500 [4 per cell]
Th: 0.2500 0.2500 0.7500 [4 per cell]
Re: 0.0000 0.0000 0.5000 [4 per cell]

---

Record 20
Crystalline KPb2Au at its relaxed geometry, computed with GGA-PBE.

## Properties
DFT total energy: -3.0429 eV per atom
DOS(E_F): 0.718 states/eV/atom
calculated formation energy: -0.10 eV/atom
total moment: 0.0 μB per formula unit
theoretical density: 8.947 g cm⁻³

abc: 3.6865 3.8940 8.4102
angles: 90.00 90.00 90.00
Space group Pmmm (No. 47)
Inequivalent atoms, fractional coordinates:
K: 0.0000 0.0000 0.0000 [1 per cell]
Pb: 0.5000 0.5000 0.3124 [2 per cell]
Au: 0.0000 0.0000 0.5000 [1 per cell]